Record 1
Crystalline SbPRu2 at its relaxed geometry. Source: the Alexandria database, functional PBE.

## Properties
energy above the most stable polymorph in this dataset	0.1721	eV per atom
total magnetization	0.00	μB per cell

Cell: 3.0179 3.0179 6.7073 Å, 90.00 90.00 90.00°
Atoms (fractional coordinates):
Sb (0.0000, 0.0000, 0.0000)
P (0.0000, 0.0000, 0.5000)
Ru (0.5000, 0.5000, 0.2953)
Ru (0.5000, 0.5000, 0.7047)


Record 2
Crystalline SbPRu2 at its relaxed geometry. Source: the Alexandria database, functional PBE.

## Properties
energy above the most stable polymorph in this dataset	0.2668	eV per atom
total magnetization	0.00	μB per cell

Cell: 5.5729 5.5729 10.8656 Å, 90.00 90.00 90.00°
Atoms (fractional coordinates):
Sb (0.0000, 0.0000, 0.0000)
Sb (0.0000, 0.5000, 0.2500)
Sb (0.5000, 0.0000, 0.7500)
Sb (0.5000, 0.5000, 0.5000)
P (0.0000, 0.0000, 0.5000)
P (0.0000, 0.5000, 0.7500)
P (0.5000, 0.0000, 0.2500)
P (0.5000, 0.5000, 0.0000)
Ru (0.1969, 0.2500, 0.6250)
Ru (0.2500, 0.6969, 0.8750)
Ru (0.2500, 0.8031, 0.3750)
Ru (0.3031, 0.2500, 0.1250)
Ru (0.6969, 0.7500, 0.1250)
Ru (0.7500, 0.1969, 0.3750)
Ru (0.7500, 0.3031, 0.8750)
Ru (0.8031, 0.7500, 0.6250)


Record 3
Crystalline SbPRu4 at its relaxed geometry. Source: the Alexandria database, functional PBE.

## Properties
total energy	-7.071	eV/atom
total magnetization	0.00	μB per cell

Cell: 5.1666 5.1666 5.1666 Å, 60.00 60.00 60.00°
Atoms (fractional coordinates):
Sb (0.0000, 0.0000, 0.0000)
P (0.7500, 0.7500, 0.7500)
Ru (0.3755, 0.3755, 0.3755)
Ru (0.3755, 0.3755, 0.8735)
Ru (0.3755, 0.8735, 0.3755)
Ru (0.8735, 0.3755, 0.3755)


Record 4
Crystalline SbPRu2 at its relaxed geometry. Source: the Alexandria database, functional PBE.

## Properties
energy above the most stable polymorph in this dataset	0.2411	eV per atom
total magnetization	0.00	μB per cell

Cell: 2.9884 2.9884 7.8931 Å, 90.00 90.00 90.00°
Atoms (fractional coordinates):
Sb (0.0000, 0.0000, 0.0000)
P (0.5000, 0.5000, 0.3899)
Ru (0.0000, 0.0000, 0.5389)
Ru (0.5000, 0.5000, 0.7819)